# Li2La3Tl3

A relaxed Li2La3Tl3 crystal (GGA-PBE, the Alexandria database).

Lattice parameters (Å, degrees): 6.080 6.080 16.498 90.00 90.00 131.96
Sites, in units of the cell vectors:
Li 0.211 0.789 0.591
Li 0.211 0.789 0.909
Li 0.789 0.211 0.091
Li 0.789 0.211 0.409
La 0.096 0.904 0.109
La 0.096 0.904 0.391
La 0.381 0.619 0.250
La 0.619 0.381 0.750
La 0.904 0.096 0.609
La 0.904 0.096 0.891
Tl 0.323 0.677 0.750
Tl 0.385 0.615 0.047
Tl 0.385 0.615 0.453
Tl 0.615 0.385 0.547
Tl 0.615 0.385 0.953
Tl 0.677 0.323 0.250

## Properties
SG = Cmcm (63)
Formation energy = -0.32 eV/atom
Calculated density = 7.64 g cm⁻³
E_tot = -56.5 eV/cell

# CsRbBa2Cd

A relaxed CsRbBa2Cd crystal (GGA-PBE, the Alexandria database).

Lattice parameters (Å, degrees): 6.913 6.913 7.508 90.00 90.00 90.00
Sites, in units of the cell vectors:
Cs 0.000 0.000 0.000
Rb 0.500 0.500 0.000
Ba 0.000 0.500 0.500
Ba 0.500 0.000 0.500
Cd 0.500 0.500 0.500

## Properties
Energy above the lowest structure with this stoichiometry = 0 meV per atom
SG = P4/mmm (123)
Formation energy = 0.03 eV/atom
Calculated density = 2.80 g cm⁻³
E_tot = -6.4 eV/cell